(1)
CaMn2Ni: relaxed, GGA-PBEsol.

Lattice parameters (Å, degrees): 2.582 3.835 5.998 90.00 90.10 90.00
Fractional positions:
Ca: 0.000 0.000 0.000
Mn: 0.499 0.500 0.342
Mn: 0.501 0.500 0.658
Ni: 0.000 0.000 0.500

Summary:
Final energy, eV per formula unit: -25.45
Symmetry: P2/m
DFT formation energy, eV/f.u.: 2.4


(2)
Ca3MnNiO6: relaxed, GGA-PBEsol.

Lattice parameters (Å, degrees): 6.267 6.267 6.267 91.87 91.87 91.87
Fractional positions:
Ca: 0.113 0.750 0.387
Ca: 0.250 0.613 0.887
Ca: 0.387 0.113 0.750
Ca: 0.613 0.887 0.250
Ca: 0.750 0.387 0.113
Ca: 0.887 0.250 0.613
Mn: 0.000 0.000 0.000
Mn: 0.500 0.500 0.500
Ni: 0.250 0.250 0.250
Ni: 0.750 0.750 0.750
O: 0.043 0.918 0.713
O: 0.082 0.287 0.957
O: 0.213 0.418 0.543
O: 0.287 0.957 0.082
O: 0.418 0.543 0.213
O: 0.457 0.787 0.582
O: 0.543 0.213 0.418
O: 0.582 0.457 0.787
O: 0.713 0.043 0.918
O: 0.787 0.582 0.457
O: 0.918 0.713 0.043
O: 0.957 0.082 0.287

Summary:
Formation energy from raw total energies, eV/f.u.: -25.1
Final energy, eV per formula unit: -78.93
Symmetry: R-3c


(3)
Ca2MnNiSb: relaxed, GGA-PBEsol.

Lattice parameters (Å, degrees): 5.779 5.779 4.849 90.00 90.00 90.00
Fractional positions:
Ca: 0.000 0.500 0.000
Ca: 0.500 0.000 0.000
Mn: 0.000 0.000 0.500
Ni: 0.500 0.500 0.500
Sb: 0.000 0.000 0.000

Summary:
Formation energy from raw total energies, eV/f.u.: 3.4
Final energy, eV per formula unit: -21.33
Symmetry: P4/mmm


(4)
Ca3Mn2O7: relaxed, GGA-PBEsol.

Lattice parameters (Å, degrees): 9.897 9.897 9.897 158.40 158.40 30.74
Fractional positions:
Ca: 0.000 0.000 0.000
Ca: 0.184 0.184 0.000
Ca: 0.816 0.816 0.000
Mn: 0.400 0.400 0.000
Mn: 0.600 0.600 0.000
O: 0.098 0.598 0.500
O: 0.302 0.302 0.000
O: 0.402 0.902 0.500
O: 0.500 0.500 0.000
O: 0.598 0.098 0.500
O: 0.698 0.698 0.000
O: 0.902 0.402 0.500

Summary:
Relative energy among the computed polymorphs, meV per atom: 32
Formation energy from raw total energies, eV/f.u.: -28.9
Final energy, eV per formula unit: -91.60
Symmetry: I4/mmm


(5)
CaMn2O4: relaxed, GGA-PBEsol.

Lattice parameters (Å, degrees): 6.574 6.574 6.574 127.98 127.98 76.66
Fractional positions:
Ca: 0.375 0.625 0.750
Ca: 0.625 0.375 0.250
Mn: 0.000 0.000 0.000
Mn: 0.000 0.000 0.500
Mn: 0.000 0.500 0.000
Mn: 0.500 0.000 0.500
O: 0.200 0.232 0.968
O: 0.232 0.200 0.468
O: 0.232 0.764 0.032
O: 0.236 0.768 0.468
O: 0.764 0.232 0.532
O: 0.768 0.236 0.968
O: 0.768 0.800 0.532
O: 0.800 0.768 0.032

Summary:
Relative energy among the computed polymorphs, meV per atom: 82
Formation energy from raw total energies, eV/f.u.: -13.8
Final energy, eV per formula unit: -56.48
Symmetry: I4_1/amd


(6)
Ca4Mn2O7: relaxed, GGA-PBEsol.

Lattice parameters (Å, degrees): 6.562 6.562 10.067 90.00 90.00 47.42
Fractional positions:
Ca: 0.059 0.641 0.874
Ca: 0.141 0.559 0.374
Ca: 0.359 0.941 0.874
Ca: 0.441 0.859 0.374
Ca: 0.559 0.141 0.626
Ca: 0.641 0.059 0.126
Ca: 0.859 0.441 0.626
Ca: 0.941 0.359 0.126
Mn: 0.225 0.775 0.622
Mn: 0.275 0.725 0.122
Mn: 0.725 0.275 0.878
Mn: 0.775 0.225 0.378
O: 0.000 0.000 0.000
O: 0.063 0.615 0.618
O: 0.077 0.923 0.288
O: 0.115 0.563 0.118
O: 0.385 0.937 0.618
O: 0.423 0.577 0.788
O: 0.437 0.885 0.118
O: 0.500 0.500 0.500
O: 0.563 0.115 0.882
O: 0.577 0.423 0.212
O: 0.615 0.063 0.382
O: 0.885 0.437 0.882
O: 0.923 0.077 0.712
O: 0.937 0.385 0.382

Summary:
Formation energy from raw total energies, eV/f.u.: -32.5
Final energy, eV per formula unit: -97.26
Symmetry: Cmce